The following is a DFT calculation (PBE) of Ho4SbPb2 after structural relaxation.

Results
E_tot, eV for the cell shown: -66.641
V, Å³ per atom: 29.2
Magnetization, μB/f.u.: 0.0
Raw formation energy, eV/f.u.: -3.47

Geometry as POSCAR:
```
Ho4SbPb2
1.0
6.1557 0.0000 0.0000
0.0000 6.5416 0.0000
-1.6587 0.0000 10.1579
Ho Sb Pb
8 2 4
Direct
0.0296 0.2500 0.1590
0.1362 0.7500 0.4481
0.4275 0.0053 0.7314
0.4275 0.4947 0.7314
0.5725 0.5053 0.2686
0.5725 0.9947 0.2686
0.8638 0.2500 0.5519
0.9704 0.7500 0.8410
0.0515 0.7500 0.1568
0.9485 0.2500 0.8432
0.3102 0.2500 0.4564
0.4889 0.2500 0.0060
0.5111 0.7500 0.9940
0.6898 0.7500 0.5436
```

The following is a DFT calculation (PBE) of CaLaI5 after structural relaxation.

Results
E_tot, eV for the cell shown: -51.032
V, Å³ per atom: 46.4
Magnetization, μB/f.u.: 0.0
Raw formation energy, eV/f.u.: -10.84

Geometry as POSCAR:
```
CaLaI5
1.0
2.2505 -7.8611 0.0000
2.2505 7.8611 0.0000
0.0000 0.0000 18.3393
Ca La I
2 2 10
Direct
0.0000 0.0000 0.0000
0.0000 0.0000 0.5000
0.4891 0.5109 0.7500
0.5109 0.4891 0.2500
0.0985 0.9015 0.6496
0.0985 0.9015 0.8504
0.1530 0.8470 0.2500
0.3938 0.6062 0.5755
0.3938 0.6062 0.9245
0.6062 0.3938 0.0755
0.6062 0.3938 0.4245
0.8470 0.1530 0.7500
0.9015 0.0985 0.1496
0.9015 0.0985 0.3504
```

The following is a DFT calculation (PBE) of Pm7NdHo4 after structural relaxation.

Results
Formation enthalpy at 0 K, eV/f.u.: 2.5
E_tot, eV for the cell shown: -53.853
V, Å³ per atom: 34.0
Magnetization, μB/f.u.: 0.1

Geometry as POSCAR:
```
Pm7NdHo4
1.0
8.0636 -2.9963 0.0000
8.0636 2.9963 0.0000
-4.2320 0.0000 8.4385
Pm Nd Ho
7 1 4
Direct
0.0000 0.0000 0.0000
0.2851 0.2851 0.1158
0.2874 0.2874 0.7612
0.4143 0.4143 0.5491
0.5857 0.5857 0.4509
0.7126 0.7126 0.2388
0.7149 0.7149 0.8842
0.5000 0.5000 0.0000
0.0712 0.0712 0.6981
0.1699 0.1699 0.3829
0.8301 0.8301 0.6171
0.9288 0.9288 0.3019
```

The following is a DFT calculation (PBE) of Tm4InNi2Ru after structural relaxation.

Results
Formation enthalpy at 0 K, eV/f.u.: -3.3
E_tot, eV for the cell shown: -44.801
V, Å³ per atom: 20.6
Magnetization, μB/f.u.: 0.0

Geometry as POSCAR:
```
Tm4InNi2Ru
1.0
2.4355 1.4061 8.0091
-2.4355 1.4061 8.0091
0.0000 -2.8122 8.0091
Tm In Ni Ru
4 1 2 1
Direct
0.1158 0.1158 0.1158
0.3684 0.3684 0.3684
0.6316 0.6316 0.6316
0.8842 0.8842 0.8842
0.5000 0.5000 0.5000
0.2483 0.2483 0.2483
0.7517 0.7517 0.7517
0.0000 0.0000 0.0000
```

The following is a DFT calculation (PBE) of CaFe2As after structural relaxation.

Results
Formation enthalpy at 0 K, eV/f.u.: 1.2
E_tot, eV for the cell shown: -44.688
V, Å³ per atom: 17.1
Magnetization, μB/f.u.: 5.2

Geometry as POSCAR:
```
CaFe2As
1.0
5.6136 0.0000 0.0000
0.0000 9.5315 0.0000
-1.5335 0.0000 2.5565
Ca Fe As
2 4 2
Direct
0.0000 0.0000 0.0000
0.5000 0.5000 0.0000
0.2500 0.2500 0.5000
0.2500 0.7500 0.5000
0.7500 0.2500 0.5000
0.7500 0.7500 0.5000
0.0000 0.5000 0.0000
0.5000 0.0000 0.0000
```

The following is a DFT calculation (PBE) of TcTeIr2 after structural relaxation.

Results
E_tot, eV for the cell shown: -29.476
V, Å³ per atom: 16.6
Magnetization, μB/f.u.: 0.0
Raw formation energy, eV/f.u.: 1.75

Geometry as POSCAR:
```
TcTeIr2
1.0
2.9719 0.0000 0.0000
0.0000 2.9719 0.0000
0.0000 0.0000 7.5049
Tc Te Ir
1 1 2
Direct
0.0000 0.0000 0.0000
0.5000 0.5000 0.2694
0.0000 0.0000 0.5312
0.5000 0.5000 0.7846
```

The following is a DFT calculation (PBE) of La12Pr3Au after structural relaxation.

Results
Formation enthalpy at 0 K, eV/f.u.: -0.7
E_tot, eV for the cell shown: -77.470
V, Å³ per atom: 34.7
Magnetization, μB/f.u.: 0.0

Geometry as POSCAR:
```
La12Pr3Au
1.0
5.1723 0.0000 0.0000
0.0000 5.1723 0.0000
0.0000 0.0000 20.7459
La Pr Au
12 3 1
Direct
0.0000 0.0000 0.0000
0.0000 0.0000 0.2413
0.0000 0.0000 0.5000
0.0000 0.0000 0.7587
0.0000 0.5000 0.1159
0.0000 0.5000 0.3709
0.0000 0.5000 0.6291
0.0000 0.5000 0.8841
0.5000 0.0000 0.1159
0.5000 0.0000 0.3709
0.5000 0.0000 0.6291
0.5000 0.0000 0.8841
0.5000 0.5000 0.2420
0.5000 0.5000 0.5000
0.5000 0.5000 0.7580
0.5000 0.5000 0.0000
```

The following is a DFT calculation (PBE) of YPBr2 after structural relaxation.

Results
E_tot, eV for the cell shown: -67.087
V, Å³ per atom: 23.7
Magnetization, μB/f.u.: 0.0
Raw formation energy, eV/f.u.: -1.55

Geometry as POSCAR:
```
YPBr2
1.0
7.2338 0.0000 0.0000
0.0000 7.2338 0.0000
0.0000 0.0000 7.2338
Y P Br
4 4 8
Direct
0.0000 0.0000 0.0000
0.0000 0.5000 0.5000
0.5000 0.0000 0.5000
0.5000 0.5000 0.0000
0.2500 0.2500 0.7500
0.2500 0.7500 0.2500
0.7500 0.2500 0.2500
0.7500 0.7500 0.7500
0.0000 0.0000 0.5000
0.0000 0.5000 0.0000
0.2500 0.2500 0.2500
0.2500 0.7500 0.7500
0.5000 0.0000 0.0000
0.5000 0.5000 0.5000
0.7500 0.2500 0.7500
0.7500 0.7500 0.2500
```

Copy entry 7 word for word.
The following is a DFT calculation (PBE) of La12Pr3Au after structural relaxation.

Results
Formation enthalpy at 0 K, eV/f.u.: -0.7
E_tot, eV for the cell shown: -77.470
V, Å³ per atom: 34.7
Magnetization, μB/f.u.: 0.0

Geometry as POSCAR:
```
La12Pr3Au
1.0
5.1723 0.0000 0.0000
0.0000 5.1723 0.0000
0.0000 0.0000 20.7459
La Pr Au
12 3 1
Direct
0.0000 0.0000 0.0000
0.0000 0.0000 0.2413
0.0000 0.0000 0.5000
0.0000 0.0000 0.7587
0.0000 0.5000 0.1159
0.0000 0.5000 0.3709
0.0000 0.5000 0.6291
0.0000 0.5000 0.8841
0.5000 0.0000 0.1159
0.5000 0.0000 0.3709
0.5000 0.0000 0.6291
0.5000 0.0000 0.8841
0.5000 0.5000 0.2420
0.5000 0.5000 0.5000
0.5000 0.5000 0.7580
0.5000 0.5000 0.0000
```